(1)
Compound: CuHPt
Source: Alexandria via LeMat-Bulk
Functional: PBE
Structure: relaxed

The structure in POSCAR format:
```
CuHPt
1.0
2.896 0.000 0.000
-1.448 2.508 0.000
0.000 0.000 4.363
Cu H Pt
1 1 1
Direct
0.000 0.000 0.000 Cu
0.333 0.667 0.677 H
0.667 0.333 0.482 Pt
```

Properties
- density of states at the Fermi level (states/eV per cell) = 1.7
- symmetry = No. 156
- energy relative to the lowest polymorph listed for this composition (meV per atom) = 58


(2)
Compound: CuHPt2
Source: Alexandria via LeMat-Bulk
Functional: PBE
Structure: relaxed

The structure in POSCAR format:
```
CuHPt2
1.0
0.000 2.914 2.914
2.914 0.000 2.914
2.914 2.914 0.000
Cu H Pt
1 1 2
Direct
0.000 0.000 0.000 Cu
0.500 0.500 0.500 H
0.250 0.250 0.250 Pt
0.750 0.750 0.750 Pt
```

Properties
- density of states at the Fermi level (states/eV per cell) = 2.6
- symmetry = No. 225
- energy relative to the lowest polymorph listed for this composition (meV per atom) = 359


(3)
Compound: CuHPt2
Source: Alexandria via LeMat-Bulk
Functional: PBE
Structure: relaxed

The structure in POSCAR format:
```
CuHPt2
1.0
2.750 0.000 0.000
0.000 2.750 0.000
0.000 0.000 6.310
Cu H Pt
1 1 2
Direct
0.000 0.000 0.000 Cu
0.000 0.000 0.500 H
0.500 0.500 0.288 Pt
0.500 0.500 0.712 Pt
```

Properties
- density of states at the Fermi level (states/eV per cell) = 2.9
- symmetry = No. 123
- energy relative to the lowest polymorph listed for this composition (meV per atom) = 197


(4)
Compound: CuH3Pt3
Source: Alexandria via LeMat-Bulk
Functional: PBE
Structure: relaxed

The structure in POSCAR format:
```
CuH3Pt3
1.0
11.420 0.000 0.000
-5.710 9.890 0.000
0.000 0.000 2.692
Cu H Pt
2 6 6
Direct
0.333 0.667 0.250 Cu
0.667 0.333 0.750 Cu
0.126 0.688 0.250 H
0.312 0.438 0.250 H
0.438 0.126 0.750 H
0.562 0.874 0.250 H
0.688 0.562 0.750 H
0.874 0.312 0.750 H
0.112 0.586 0.750 Pt
0.414 0.526 0.750 Pt
0.474 0.888 0.750 Pt
0.526 0.112 0.250 Pt
0.586 0.474 0.250 Pt
0.888 0.414 0.250 Pt
```

Properties
- density of states at the Fermi level (states/eV per cell) = 4.4
- symmetry = No. 176
- energy relative to the lowest polymorph listed for this composition (meV per atom) = 0


(5)
Compound: CuHPt
Source: Alexandria via LeMat-Bulk
Functional: PBE
Structure: relaxed

The structure in POSCAR format:
```
CuHPt
1.0
2.384 -1.382 0.000
2.384 1.382 0.000
-1.606 0.000 4.811
Cu H Pt
1 1 1
Direct
0.000 0.000 0.000 Cu
0.393 0.393 0.177 H
0.517 0.517 0.544 Pt
```

Properties
- density of states at the Fermi level (states/eV per cell) = 1.2
- symmetry = No. 8
- energy relative to the lowest polymorph listed for this composition (meV per atom) = 47


(6)
Compound: CuHPt2
Source: Alexandria via LeMat-Bulk
Functional: PBE
Structure: relaxed

The structure in POSCAR format:
```
CuHPt2
1.0
5.417 0.000 0.000
0.000 5.637 0.000
0.000 0.000 6.360
Cu H Pt
4 4 8
Direct
0.000 0.250 0.002 Cu
0.000 0.750 0.998 Cu
0.500 0.250 0.498 Cu
0.500 0.750 0.502 Cu
0.021 0.250 0.454 H
0.479 0.750 0.954 H
0.521 0.250 0.046 H
0.979 0.750 0.546 H
0.148 0.504 0.324 Pt
0.148 0.996 0.324 Pt
0.352 0.004 0.824 Pt
0.352 0.496 0.824 Pt
0.648 0.504 0.176 Pt
0.648 0.996 0.176 Pt
0.852 0.004 0.676 Pt
0.852 0.496 0.676 Pt
```

Properties
- density of states at the Fermi level (states/eV per cell) = 13.2
- symmetry = No. 62
- energy relative to the lowest polymorph listed for this composition (meV per atom) = 34


(7)
Compound: CuHPt2
Source: Alexandria via LeMat-Bulk
Functional: PBE
Structure: relaxed

The structure in POSCAR format:
```
CuHPt2
1.0
1.391 0.803 7.147
-1.391 0.803 7.147
0.000 -1.607 7.147
Cu H Pt
1 1 2
Direct
0.000 0.000 0.000 Cu
0.186 0.186 0.186 H
0.565 0.565 0.565 Pt
0.766 0.766 0.766 Pt
```

Properties
- density of states at the Fermi level (states/eV per cell) = 0.9
- symmetry = No. 160
- energy relative to the lowest polymorph listed for this composition (meV per atom) = 0


(8)
Compound: Cu2H2Pt
Source: Alexandria via LeMat-Bulk
Functional: PBE
Structure: relaxed

The structure in POSCAR format:
```
Cu2H2Pt
1.0
3.707 0.000 0.000
0.000 3.707 0.000
0.000 0.000 3.778
Cu H Pt
2 2 1
Direct
0.000 0.500 0.000 Cu
0.500 0.000 0.000 Cu
0.000 0.500 0.500 H
0.500 0.000 0.500 H
0.000 0.000 0.500 Pt
```

Properties
- density of states at the Fermi level (states/eV per cell) = 0.7
- symmetry = No. 123
- energy relative to the lowest polymorph listed for this composition (meV per atom) = 0


Repeat the eighth record exactly.
Compound: Cu2H2Pt
Source: Alexandria via LeMat-Bulk
Functional: PBE
Structure: relaxed

The structure in POSCAR format:
```
Cu2H2Pt
1.0
3.707 0.000 0.000
0.000 3.707 0.000
0.000 0.000 3.778
Cu H Pt
2 2 1
Direct
0.000 0.500 0.000 Cu
0.500 0.000 0.000 Cu
0.000 0.500 0.500 H
0.500 0.000 0.500 H
0.000 0.000 0.500 Pt
```

Properties
- density of states at the Fermi level (states/eV per cell) = 0.7
- symmetry = No. 123
- energy relative to the lowest polymorph listed for this composition (meV per atom) = 0


Number 5 is which compound? CuHPt


What did the sixth record say?
Compound: CuHPt2
Source: Alexandria via LeMat-Bulk
Functional: PBE
Structure: relaxed

The structure in POSCAR format:
```
CuHPt2
1.0
5.417 0.000 0.000
0.000 5.637 0.000
0.000 0.000 6.360
Cu H Pt
4 4 8
Direct
0.000 0.250 0.002 Cu
0.000 0.750 0.998 Cu
0.500 0.250 0.498 Cu
0.500 0.750 0.502 Cu
0.021 0.250 0.454 H
0.479 0.750 0.954 H
0.521 0.250 0.046 H
0.979 0.750 0.546 H
0.148 0.504 0.324 Pt
0.148 0.996 0.324 Pt
0.352 0.004 0.824 Pt
0.352 0.496 0.824 Pt
0.648 0.504 0.176 Pt
0.648 0.996 0.176 Pt
0.852 0.004 0.676 Pt
0.852 0.496 0.676 Pt
```

Properties
- density of states at the Fermi level (states/eV per cell) = 13.2
- symmetry = No. 62
- energy relative to the lowest polymorph listed for this composition (meV per atom) = 34


Look up the energy relative to the lowest polymorph listed for this composition of the third one. 197 meV per atom